Here is a relaxed structure of AsP from Alexandria via LeMat-Bulk. Energies are from GGA-PBE.

CIF file:
```
data_AsP
_chemical_formula_sum 'As2 P2'
_space_group_name_H-M_alt 'P m m n'
_space_group_IT_number 59
_cell_length_a 3.5523
_cell_length_b 5.4796
_cell_length_c 4.0477
_cell_angle_alpha 90.00
_cell_angle_beta 90.00
_cell_angle_gamma 90.00
loop_
_space_group_symop_operation_xyz
'x,y,z'
'-x,-y,-z'
'-x+1/2,-y+1/2,z'
'x+1/2,y+1/2,-z'
'x+1/2,-y,-z'
'-x+1/2,y,z'
'-x,y+1/2,-z'
'x,-y+1/2,z'
loop_
_atom_site_label
_atom_site_fract_x
_atom_site_fract_y
_atom_site_fract_z
As1 0.2500 0.2500 0.1974
P1 0.2500 0.7500 0.1946
```

## Properties
N(E_F) in states/eV per cell: 1.01
Spin magnetization in μB/cell: 0.0
Energy of formation from the pure elements in eV per atom: 0.168